Entry 1:
Density functional theory data (PBE-GGA) for MoIr3 after structural relaxation.

a = 3.8900 Å, b = 3.8900 Å, c = 3.8900 Å
α = 90.00°, β = 90.00°, γ = 90.00°
With the nearest neighbours (Å) after each atom.
Atoms (fractional coordinates):
Mo1 0.0000 0.0000 0.0000  12 Ir 2.75
Ir1 0.0000 0.5000 0.5000  4 Mo 2.75, 8 Ir 2.75
Ir2 0.5000 0.0000 0.5000  4 Mo 2.75, 8 Ir 2.75
Ir3 0.5000 0.5000 0.0000  4 Mo 2.75, 8 Ir 2.75

Properties
Symmetry: Pm-3m
Fermi-level density of states: 2.46 states/eV/f.u.
Calculated formation energy: -0.267 eV/atom
ΔE to the lowest computed polymorph: 69 meV/atom

=====

Entry 2:
Density functional theory data (PBE-GGA) for LaBi3Pb after structural relaxation.

a = 6.1157 Å, b = 6.1157 Å, c = 6.1157 Å
α = 90.00°, β = 90.00°, γ = 90.00°
With the nearest neighbours (Å) after each atom.
Atoms (fractional coordinates):
La1 0.0000 0.0000 0.0000  6 Bi 3.06
Bi1 0.0000 0.0000 0.5000  2 La 3.06
Bi2 0.0000 0.5000 0.0000  2 La 3.06
Bi3 0.5000 0.0000 0.0000  2 La 3.06
Pb1 0.5000 0.5000 0.5000  12 Bi 4.32

Properties
Symmetry: Pm-3m
Fermi-level density of states: 5.77 states/eV/f.u.
Calculated formation energy: 0.428 eV/atom
ΔE to the lowest computed polymorph: 852 meV/atom

=====

Entry 3:
Density functional theory data (PBE-GGA) for SbIrRhI2 after structural relaxation.

a = 5.5532 Å, b = 5.5532 Å, c = 4.9443 Å
α = 90.00°, β = 90.00°, γ = 90.00°
With the nearest neighbours (Å) after each atom.
Atoms (fractional coordinates):
Sb1 0.0000 0.0000 0.0000  2 Ir 2.47
Ir1 0.0000 0.0000 0.5000  2 Sb 2.47
Rh1 0.5000 0.5000 0.0000  8 I 3.72, 4 Sb 3.93
I1 0.0000 0.5000 0.5000  2 Ir 2.78
I2 0.5000 0.0000 0.5000  2 Ir 2.78

Properties
Formation energy without anion corrections: 1.02 eV per atom
Symmetry: P4/mmm
Fermi-level density of states: 6.79 states/eV/f.u.
ΔE to the lowest computed polymorph: 0 meV/atom

=====

Entry 4:
Density functional theory data (PBE-GGA) for Sc2HgH2 after structural relaxation.

a = 4.1569 Å, b = 4.1569 Å, c = 9.1103 Å
α = 90.00°, β = 90.00°, γ = 90.00°
With the nearest neighbours (Å) after each atom.
Atoms (fractional coordinates):
Sc1 0.0000 0.5000 0.2500  4 H 2.17
Sc2 0.0000 0.5000 0.7500  4 H 2.17
Sc3 0.5000 0.0000 0.2500  4 H 2.17
Sc4 0.5000 0.0000 0.7500  4 H 2.17
Hg1 0.0000 0.0000 0.0000  2 H 2.89, 8 Sc 3.08
Hg2 0.5000 0.5000 0.5000  2 H 2.89, 8 Sc 3.08
H1 0.0000 0.0000 0.3170  4 Sc 2.17
H2 0.0000 0.0000 0.6830  4 Sc 2.17
H3 0.5000 0.5000 0.1830  4 Sc 2.17
H4 0.5000 0.5000 0.8170  4 Sc 2.17

Properties
Symmetry: I4/mmm
Fermi-level density of states: 3.43 states/eV/f.u.
ΔE to the lowest computed polymorph: 447 meV/atom

=====

Entry 5:
Density functional theory data (PBE-GGA) for MnHg2Br6 after structural relaxation.

a = 7.8053 Å, b = 7.8053 Å, c = 10.0683 Å
α = 106.25°, β = 106.25°, γ = 29.75°
With the nearest neighbours (Å) after each atom.
Atoms (fractional coordinates):
Mn1 0.0000 0.0000 0.0000  6 Br 2.72-2.73
Hg1 0.3297 0.3297 0.6764  6 Br 2.80-2.99
Hg2 0.6703 0.6703 0.3236  6 Br 2.80-2.99
Br1 0.0314 0.0314 0.2815  1 Mn 2.73, 2 Hg 2.84
Br2 0.3059 0.3059 0.3707  3 Hg 2.80-2.99
Br3 0.3748 0.3748 0.9777  2 Mn 2.72, 1 Hg 2.91
Br4 0.6252 0.6252 0.0223  2 Mn 2.72, 1 Hg 2.91
Br5 0.6941 0.6941 0.6293  3 Hg 2.80-2.99
Br6 0.9686 0.9686 0.7185  1 Mn 2.73, 2 Hg 2.84

Properties
Formation energy without anion corrections: -0.53 eV per atom
Symmetry: C2/m
ΔE to the lowest computed polymorph: 0 meV/atom

=====

Entry 6:
Density functional theory data (PBE-GGA) for Pr6Er4Mg after structural relaxation.

a = 8.2657 Å, b = 8.2657 Å, c = 8.2657 Å
α = 101.56°, β = 101.56°, γ = 126.82°
With the nearest neighbours (Å) after each atom.
Atoms (fractional coordinates):
Pr1 0.0000 0.5000 0.5000  6 Pr 3.70-4.11
Pr2 0.0214 0.0214 0.6216  1 Er 3.00, 1 Mg 3.20
Pr3 0.3998 0.3998 0.3784  1 Er 3.00, 1 Mg 3.20
Pr4 0.5000 0.0000 0.5000  6 Pr 3.70-4.11
Pr5 0.6002 0.9786 0.0000  1 Er 3.00, 1 Mg 3.20
Pr6 0.9786 0.6002 0.0000  1 Er 3.00, 1 Mg 3.20
Er1 0.2362 0.4565 0.0000  1 Pr 3.00, 1 Mg 3.04, 3 Er 3.24-3.26
Er2 0.4565 0.2362 0.0000  1 Pr 3.00, 1 Mg 3.04, 3 Er 3.24-3.26
Er3 0.5435 0.5435 0.7796  1 Pr 3.00, 1 Mg 3.04, 3 Er 3.24-3.26
Er4 0.7638 0.7638 0.2204  1 Pr 3.00, 1 Mg 3.04, 3 Er 3.24-3.26
Mg1 0.0000 0.0000 0.0000  4 Er 3.04, 4 Pr 3.20

Properties
Symmetry: I-42m
Fermi-level density of states: 16.91 states/eV/f.u.
Calculated formation energy: 0.411 eV/atom

=====

Entry 7:
Density functional theory data (PBE-GGA) for Pr6In6Sn after structural relaxation.

a = 6.5336 Å, b = 6.5336 Å, c = 10.9632 Å
α = 90.00°, β = 90.00°, γ = 120.00°
With the nearest neighbours (Å) after each atom.
Atoms (fractional coordinates):
Pr1 0.0000 0.0000 0.2051  1 Sn 3.23, 6 In 3.30
Pr2 0.0000 0.0000 0.7949  1 Sn 3.23, 6 In 3.30
Pr3 0.3333 0.6667 0.0000  6 In 3.30
Pr4 0.3333 0.6667 0.5000  6 In 3.36
Pr5 0.6667 0.3333 0.0000  6 In 3.30
Pr6 0.6667 0.3333 0.5000  6 In 3.36
In1 0.0000 0.5000 0.2469  4 In 3.27, 6 Pr 3.30-3.36
In2 0.0000 0.5000 0.7531  4 In 3.27, 6 Pr 3.30-3.36
In3 0.5000 0.0000 0.2469  4 In 3.27, 6 Pr 3.30-3.36
In4 0.5000 0.0000 0.7531  4 In 3.27, 6 Pr 3.30-3.36
In5 0.5000 0.5000 0.2469  4 In 3.27, 6 Pr 3.30-3.36
In6 0.5000 0.5000 0.7531  4 In 3.27, 6 Pr 3.30-3.36
Sn1 0.0000 0.0000 0.5000  2 Pr 3.23

Properties
Symmetry: P6/mmm
Fermi-level density of states: 15.85 states/eV/f.u.
Calculated formation energy: -0.361 eV/atom

=====

Entry 8:
Density functional theory data (PBE-GGA) for Gd2YCo after structural relaxation.

a = 3.7188 Å, b = 3.7188 Å, c = 27.9457 Å
α = 90.00°, β = 90.00°, γ = 120.00°
With the nearest neighbours (Å) after each atom.
Atoms (fractional coordinates):
Gd1 0.0000 0.0000 0.2239  3 Co 2.68
Gd2 0.0000 0.0000 0.7761  3 Co 2.68
Gd3 0.3333 0.6667 0.4427  3 Co 2.68
Gd4 0.3333 0.6667 0.8906  3 Co 2.68
Gd5 0.6667 0.3333 0.1094  3 Co 2.68
Gd6 0.6667 0.3333 0.5573  3 Co 2.68
Y1 0.0000 0.0000 0.0000  6 Y 3.72, 6 Gd 3.74
Y2 0.3333 0.6667 0.6667  6 Y 3.72, 6 Gd 3.74
Y3 0.6667 0.3333 0.3333  6 Y 3.72, 6 Gd 3.74
Co1 0.0000 0.0000 0.5000  6 Gd 2.68
Co2 0.3333 0.6667 0.1667  6 Gd 2.68
Co3 0.6667 0.3333 0.8333  6 Gd 2.68

Properties
Symmetry: R-3m
Fermi-level density of states: 5.09 states/eV/f.u.
Calculated formation energy: 0.014 eV/atom
ΔE to the lowest computed polymorph: 35 meV/atom